Record 1
The following is a DFT calculation (PBE) of an optimized crystal structure of CoWCl2.

Uncorrected formation energy in eV per atom: -0.1217
Total energy in eV per cell: -24.24
Relative energy among the computed polymorphs in meV/atom: 0

CIF file:
```
data_CoWCl2
_chemical_formula_sum 'Co1 W1 Cl2'
_symmetry_space_group_name_H-M 'P 1 m 1'
_symmetry_Int_Tables_number 6
_cell_length_a 3.2159
_cell_length_b 3.0416
_cell_length_c 8.1298
_cell_angle_alpha 90.00
_cell_angle_beta 101.07
_cell_angle_gamma 90.00
loop_
_symmetry_equiv_pos_as_xyz
'x,y,z'
'x,-y,z'
loop_
_atom_site_label
_atom_site_fract_x
_atom_site_fract_y
_atom_site_fract_z
_atom_site_occupancy
Co1 0.0000 0.0000 0.0000 1
W1 0.4280 0.5000 0.8516 1
Cl1 0.3129 0.0000 0.6145 1
Cl2 0.5817 0.5000 0.1686 1
```

Record 2
The following is a DFT calculation (PBE) of an optimized crystal structure of Ho8Zn2Hg.

Calculated formation energy in eV per atom: -0.093
Total energy in eV per cell: -80.98
Relative energy among the computed polymorphs in meV/atom: 77

CIF file:
```
data_Ho8Zn2Hg
_chemical_formula_sum 'Ho16 Zn4 Hg2'
_symmetry_space_group_name_H-M 'I m m m'
_symmetry_Int_Tables_number 71
_symmetry_space_group_name_Hall '-I 2 2'
_cell_length_a 4.9264
_cell_length_b 8.2652
_cell_length_c 14.5455
_cell_angle_alpha 90.00
_cell_angle_beta 90.00
_cell_angle_gamma 90.00
loop_
_atom_site_label
_atom_site_fract_x
_atom_site_fract_y
_atom_site_fract_z
_atom_site_occupancy
Ho1 0.0000 0.0000 0.1368 1
Ho2 0.0000 0.2172 0.3354 1
Ho3 0.0000 0.3151 0.0000 1
Zn1 0.0000 0.5000 0.1950 1
Hg1 0.0000 0.5000 0.5000 1
```

Record 3
The following is a DFT calculation (PBE) of an optimized crystal structure of MnFeP2.

Calculated formation energy in eV per atom: -0.237
Total energy in eV per cell: -117.60
Relative energy among the computed polymorphs in meV/atom: 353

CIF file:
```
data_MnFeP2
_chemical_formula_sum 'Mn4 Fe4 P8'
_symmetry_space_group_name_H-M 'F m -3 m'
_symmetry_Int_Tables_number 225
_symmetry_space_group_name_Hall '-F 4 2 3'
_cell_length_a 5.5566
_cell_length_b 5.5566
_cell_length_c 5.5566
_cell_angle_alpha 90.00
_cell_angle_beta 90.00
_cell_angle_gamma 90.00
loop_
_atom_site_label
_atom_site_fract_x
_atom_site_fract_y
_atom_site_fract_z
_atom_site_occupancy
Mn1 0.0000 0.0000 0.0000 1
Fe1 0.0000 0.0000 0.5000 1
P1 0.2500 0.2500 0.2500 1
```

Record 4
The following is a DFT calculation (PBE) of an optimized crystal structure of Si2AgIr2.

Uncorrected formation energy in eV per atom: -0.4374
Total energy in eV per cell: -67.21
Relative energy among the computed polymorphs in meV/atom: 0

CIF file:
```
data_Si2AgIr2
_chemical_formula_sum 'Si4 Ag2 Ir4'
_symmetry_space_group_name_H-M 'I 4/m m m'
_symmetry_Int_Tables_number 139
_symmetry_space_group_name_Hall '-I 4 2'
_cell_length_a 3.7071
_cell_length_b 3.7071
_cell_length_c 11.4167
_cell_angle_alpha 90.00
_cell_angle_beta 90.00
_cell_angle_gamma 90.00
loop_
_atom_site_label
_atom_site_fract_x
_atom_site_fract_y
_atom_site_fract_z
_atom_site_occupancy
Si1 0.0000 0.5000 0.2500 1
Ag1 0.0000 0.0000 0.0000 1
Ir1 0.0000 0.0000 0.3811 1
```

Record 5
The following is a DFT calculation (PBE) of an optimized crystal structure of BeCd3O4.

Uncorrected formation energy in eV per atom: -1.3909
Total energy in eV per cell: -74.86

CIF file:
```
data_BeCd3O4
_chemical_formula_sum 'Be2 Cd6 O8'
_symmetry_space_group_name_H-M 'P m n 21'
_symmetry_Int_Tables_number 31
_cell_length_a 6.7505
_cell_length_b 5.9158
_cell_length_c 5.5067
_cell_angle_alpha 90.00
_cell_angle_beta 90.00
_cell_angle_gamma 90.00
loop_
_symmetry_equiv_pos_as_xyz
'x,y,z'
'-x+1/2,-y,z+1/2'
'-x,y,z'
'x+1/2,-y,z+1/2'
loop_
_atom_site_label
_atom_site_fract_x
_atom_site_fract_y
_atom_site_fract_z
_atom_site_occupancy
Be1 0.0000 0.1771 0.0000 1
Cd1 0.0000 0.8533 0.5059 1
Cd2 0.2454 0.6741 0.0023 1
O1 0.0000 0.1821 0.6999 1
O2 0.0000 0.9095 0.1025 1
O3 0.2071 0.3111 0.0992 1
```

Record 6
The following is a DFT calculation (PBE) of an optimized crystal structure of PrCdF6.

Uncorrected formation energy in eV per atom: -2.7243
Total energy in eV per cell: -38.72

CIF file:
```
data_PrCdF6
_chemical_formula_sum 'Pr1 Cd1 F6'
_symmetry_space_group_name_H-M 'P -1'
_symmetry_Int_Tables_number 2
_cell_length_a 5.5819
_cell_length_b 5.5954
_cell_length_c 6.2924
_cell_angle_alpha 63.73
_cell_angle_beta 63.68
_cell_angle_gamma 60.12
loop_
_symmetry_equiv_pos_as_xyz
'x,y,z'
'-x,-y,-z'
loop_
_atom_site_label
_atom_site_fract_x
_atom_site_fract_y
_atom_site_fract_z
_atom_site_occupancy
Pr1 0.0000 0.0000 0.0000 1
Cd1 0.5000 0.5000 0.5000 1
F1 0.1206 0.3977 0.7450 1
F2 0.2649 0.8780 0.2545 1
F3 0.3972 0.7369 0.7445 1
```

Record 7
The following is a DFT calculation (PBE) of an optimized crystal structure of RbCl4.

Uncorrected formation energy in eV per atom: 0.0244
Total energy in eV per cell: -8.23
Relative energy among the computed polymorphs in meV/atom: 769

CIF file:
```
data_RbCl4
_chemical_formula_sum 'Rb1 Cl4'
_symmetry_space_group_name_H-M 'P m -3 m'
_symmetry_Int_Tables_number 221
_symmetry_space_group_name_Hall '-P 4 2 3'
_cell_length_a 6.4445
_cell_length_b 6.4445
_cell_length_c 6.4445
_cell_angle_alpha 90.00
_cell_angle_beta 90.00
_cell_angle_gamma 90.00
loop_
_atom_site_label
_atom_site_fract_x
_atom_site_fract_y
_atom_site_fract_z
_atom_site_occupancy
Rb1 0.0000 0.0000 0.0000 1
Cl1 0.0000 0.0000 0.5000 1
Cl2 0.5000 0.5000 0.5000 1
```

Record 8
The following is a DFT calculation (PBE) of an optimized crystal structure of TlAgHg2Br6.

Uncorrected formation energy in eV per atom: -0.4912
Total energy in eV per cell: -83.08

CIF file:
```
data_TlAgHg2Br6
_chemical_formula_sum 'Tl4 Ag4 Hg8 Br24'
_symmetry_space_group_name_H-M 'C 1 2/c 1'
_symmetry_Int_Tables_number 15
_cell_length_a 14.6959
_cell_length_b 13.9671
_cell_length_c 8.0428
_cell_angle_alpha 90.00
_cell_angle_beta 110.30
_cell_angle_gamma 90.00
loop_
_symmetry_equiv_pos_as_xyz
'x,y,z'
'-x,-y,-z'
'-x,y,-z+1/2'
'x,-y,z+1/2'
'x+1/2,y+1/2,z'
'-x+1/2,-y+1/2,-z'
'-x+1/2,y+1/2,-z+1/2'
'x+1/2,-y+1/2,z+1/2'
loop_
_atom_site_label
_atom_site_fract_x
_atom_site_fract_y
_atom_site_fract_z
_atom_site_occupancy
Tl1 0.0000 0.1239 0.2500 1
Ag1 0.0000 0.2126 0.7500 1
Hg1 0.1875 0.4278 0.1893 1
Br1 0.1178 0.0673 0.6694 1
Br2 0.1239 0.4233 0.4765 1
Br3 0.1289 0.2531 0.0632 1
```

Record 9
The following is a DFT calculation (PBE) of an optimized crystal structure of HfSeNF2.

Uncorrected formation energy in eV per atom: -1.5020
Total energy in eV per cell: -33.02
Relative energy among the computed polymorphs in meV/atom: 0

CIF file:
```
data_HfSeNF2
_chemical_formula_sum 'Hf1 Se1 N1 F2'
_symmetry_space_group_name_H-M 'P 4/m m m'
_symmetry_Int_Tables_number 123
_symmetry_space_group_name_Hall '-P 4 2'
_cell_length_a 4.0614
_cell_length_b 4.0614
_cell_length_c 4.4339
_cell_angle_alpha 90.00
_cell_angle_beta 90.00
_cell_angle_gamma 90.00
loop_
_atom_site_label
_atom_site_fract_x
_atom_site_fract_y
_atom_site_fract_z
_atom_site_occupancy
Hf1 0.0000 0.0000 0.0000 1
Se1 0.5000 0.5000 0.5000 1
N1 0.0000 0.0000 0.5000 1
F1 0.0000 0.5000 0.0000 1
```

Record 10
The following is a DFT calculation (PBE) of an optimized crystal structure of TaBeIr.

Calculated formation energy in eV per atom: -0.439
Total energy in eV per cell: -51.51
Relative energy among the computed polymorphs in meV/atom: 183

CIF file:
```
data_TaBeIr
_chemical_formula_sum 'Ta2 Be2 Ir2'
_symmetry_space_group_name_H-M 'I 4 m m'
_symmetry_Int_Tables_number 107
_symmetry_space_group_name_Hall 'I 4 -2'
_cell_length_a 2.9064
_cell_length_b 2.9064
_cell_length_c 9.6048
_cell_angle_alpha 90.00
_cell_angle_beta 90.00
_cell_angle_gamma 90.00
loop_
_atom_site_label
_atom_site_fract_x
_atom_site_fract_y
_atom_site_fract_z
_atom_site_occupancy
Ta1 0.0000 0.0000 0.0000 1
Be1 0.0000 0.0000 0.3172 1
Ir1 0.0000 0.0000 0.6972 1
```

Record 11
The following is a DFT calculation (PBE) of an optimized crystal structure of AcInGePb.

Calculated formation energy in eV per atom: -0.192
Total energy in eV per cell: -63.76

CIF file:
```
data_AcInGePb
_chemical_formula_sum 'Ac4 In4 Ge4 Pb4'
_symmetry_space_group_name_H-M 'F -4 3 m'
_symmetry_Int_Tables_number 216
_symmetry_space_group_name_Hall 'F -4 2 3'
_cell_length_a 7.8060
_cell_length_b 7.8060
_cell_length_c 7.8060
_cell_angle_alpha 90.00
_cell_angle_beta 90.00
_cell_angle_gamma 90.00
loop_
_atom_site_label
_atom_site_fract_x
_atom_site_fract_y
_atom_site_fract_z
_atom_site_occupancy
Ac1 0.0000 0.0000 0.0000 1
In1 0.2500 0.2500 0.2500 1
Ge1 0.2500 0.2500 0.7500 1
Pb1 0.0000 0.0000 0.5000 1
```

Record 12
The following is a DFT calculation (PBE) of an optimized crystal structure of La8TcIr3Br3.

Uncorrected formation energy in eV per atom: -0.9453
Total energy in eV per cell: -191.13

CIF file:
```
data_La8TcIr3Br3
_chemical_formula_sum 'La16 Tc2 Ir6 Br6'
_symmetry_space_group_name_H-M 'C 1 2/m 1'
_symmetry_Int_Tables_number 12
_cell_length_a 14.5518
_cell_length_b 8.3888
_cell_length_c 9.2477
_cell_angle_alpha 90.00
_cell_angle_beta 121.74
_cell_angle_gamma 90.00
loop_
_symmetry_equiv_pos_as_xyz
'x,y,z'
'-x,-y,-z'
'-x,y,-z'
'x,-y,z'
'x+1/2,y+1/2,z'
'-x+1/2,-y+1/2,-z'
'-x+1/2,y+1/2,-z'
'x+1/2,-y+1/2,z'
loop_
_atom_site_label
_atom_site_fract_x
_atom_site_fract_y
_atom_site_fract_z
_atom_site_occupancy
La1 0.0158 0.2442 0.3033 1
La2 0.2284 0.0000 0.6965 1
La3 0.2307 0.5000 0.6921 1
Tc1 0.0000 0.0000 0.5000 1
Ir1 0.0000 0.5000 0.5000 1
Ir2 0.2500 0.2500 0.5000 1
Br1 0.0000 0.0000 0.0000 1
Br2 0.2500 0.2500 0.0000 1
```

Number 1: total magnetization 0.0 μB/cell, theoretical density 6674 kg/m³. Number 2: total magnetization 0.0 μB/cell, theoretical density 9257 kg/m³. Number 3: total magnetization 0.0 μB/cell, theoretical density 6687 kg/m³. Number 4: total magnetization 0.0 μB/cell, theoretical density 11610 kg/m³. Number 5: total magnetization 0.0 μB/cell, theoretical density 6196 kg/m³. Number 6: total magnetization 1.0 μB/cell, theoretical density 4167 kg/m³. Number 7: total magnetization 3.0 μB/cell, theoretical density 1410 kg/m³. Number 8: total magnetization 0.0 μB/cell, theoretical density 5117 kg/m³. Number 9: total magnetization 0.0 μB/cell, theoretical density 7026 kg/m³. Number 10: total magnetization 0.0 μB/cell, theoretical density 15644 kg/m³. Number 11: total magnetization 0.0 μB/cell, theoretical density 8681 kg/m³. Number 12: total magnetization 0.0 μB/cell, theoretical density 7007 kg/m³.